The following is a DFT calculation (SCAN) of a crystal of BaLa2O4 relaxed with PBEsol.

The calculation puts the volume at 17.483 Å³/atom. Its magnetization is 0.000 Bohr magnetons per cell. The calculation puts the raw formation energy at -3.473 eV per atom. For the energy relative to the lowest polymorph listed for this composition, the calculation gives 0.000 eV/atom.

It has space group Pnma (No. 62), with a = 10.613 Å, b = 3.676 Å, c = 12.547 Å, α = 90.00°, β = 90.00° and γ = 90.00°. Symmetry generates all atoms from Ba at (0.249, 0.250, 0.146), La at (0.073, 0.750, 0.385), La at (0.085, 0.750, 0.889), O at (0.010, 0.250, 0.283), O at (0.067, 0.750, 0.078), O at (0.127, 0.250, 0.515) and O at (0.214, 0.250, 0.822).

=====

The following is a DFT calculation (SCAN) of a crystal of LaTeW3 relaxed with PBEsol.

The calculation puts the volume at 23.947 Å³/atom. Its magnetization is 0.000 Bohr magnetons per cell. The calculation puts the raw formation energy at 1.927 eV per atom.

It has space group Pm-3m (No. 221), with a = 4.929 Å, b = 4.929 Å, c = 4.929 Å, α = 90.00°, β = 90.00° and γ = 90.00°. Symmetry generates all atoms from La at (0.000, 0.000, 0.000), Te at (0.500, 0.500, 0.500) and W at (0.000, 0.500, 0.500).

=====

Q: What is the volume in the second record?
A: 23.947 Å³/atom

=====

Q: What is the magnetization in the second record?
A: 0.000 Bohr magnetons per cell

=====

Q: The highest volume belongs to which entry?
A: LaTeW3

=====

Q: What is the formula in the second record?
A: LaTeW3